# 1
# RbNaLi2Sn

An optimized crystal structure of RbNaLi2Sn (PBE, Alexandria). Values from VASP.

Quantum ESPRESSO input file:
```
&SYSTEM
  ibrav = 0, nat = 5, ntyp = 4
/
ATOMIC_SPECIES
Rb 85.47 Rb.upf
Na 22.99 Na.upf
Li 6.94 Li.upf
Sn 118.71 Sn.upf
CELL_PARAMETERS angstrom
5.4600 0.0000 0.0000
0.0000 5.4600 0.0000
0.0000 0.0000 5.9269
ATOMIC_POSITIONS crystal
Rb 0.0000 0.0000 0.0000
Na 0.5000 0.5000 0.0000
Li 0.0000 0.5000 0.5000
Li 0.5000 0.0000 0.5000
Sn 0.5000 0.5000 0.5000
```

Properties
Electronic total energy: -2.17 eV/atom
Symmetry: P4/mmm (123)

# 2
# RbNa2LiSn

An optimized crystal structure of RbNa2LiSn (PBE, Alexandria). Values from VASP.

Quantum ESPRESSO input file:
```
&SYSTEM
  ibrav = 0, nat = 5, ntyp = 4
/
ATOMIC_SPECIES
Rb 85.47 Rb.upf
Na 22.99 Na.upf
Li 6.94 Li.upf
Sn 118.71 Sn.upf
CELL_PARAMETERS angstrom
6.0166 0.0000 0.0000
0.0000 6.0166 0.0000
0.0000 0.0000 5.4913
ATOMIC_POSITIONS crystal
Rb 0.0000 0.0000 0.0000
Na 0.0000 0.5000 0.5000
Na 0.5000 0.0000 0.5000
Li 0.5000 0.5000 0.0000
Sn 0.5000 0.5000 0.5000
```

Properties
Distance to the lowest polymorph of the same formula: 0.000 eV/atom
Symmetry: P4/mmm (123)

# 3
# RbNaLiSn

An optimized crystal structure of RbNaLiSn (PBE, Alexandria). Values from VASP.

Quantum ESPRESSO input file:
```
&SYSTEM
  ibrav = 0, nat = 4, ntyp = 4
/
ATOMIC_SPECIES
Rb 85.47 Rb.upf
Na 22.99 Na.upf
Li 6.94 Li.upf
Sn 118.71 Sn.upf
CELL_PARAMETERS angstrom
0.0000 3.9540 3.9540
3.9540 0.0000 3.9540
3.9540 3.9540 0.0000
ATOMIC_POSITIONS crystal
Rb 0.0000 0.0000 0.0000
Na 0.7500 0.7500 0.7500
Li 0.2500 0.2500 0.2500
Sn 0.5000 0.5000 0.5000
```

Properties
Electronic total energy: -2.10 eV/atom
Symmetry: F-43m (216)

Repeat the second record exactly.
# RbNa2LiSn

An optimized crystal structure of RbNa2LiSn (PBE, Alexandria). Values from VASP.

Quantum ESPRESSO input file:
```
&SYSTEM
  ibrav = 0, nat = 5, ntyp = 4
/
ATOMIC_SPECIES
Rb 85.47 Rb.upf
Na 22.99 Na.upf
Li 6.94 Li.upf
Sn 118.71 Sn.upf
CELL_PARAMETERS angstrom
6.0166 0.0000 0.0000
0.0000 6.0166 0.0000
0.0000 0.0000 5.4913
ATOMIC_POSITIONS crystal
Rb 0.0000 0.0000 0.0000
Na 0.0000 0.5000 0.5000
Na 0.5000 0.0000 0.5000
Li 0.5000 0.5000 0.0000
Sn 0.5000 0.5000 0.5000
```

Properties
Distance to the lowest polymorph of the same formula: 0.000 eV/atom
Symmetry: P4/mmm (123)